No. 1
Density functional theory data (GGA-PBE) for an optimized crystal structure of ZnBiCF2.

Cell lengths 4.476, 4.673, 4.476 Å; angles 90.00, 90.00, 90.00 degrees
Each line ends with the local moment (μB).
Atoms (fractional coordinates):
1 C 0.000 0.500 0.000  0.18
2 Zn 0.500 0.500 0.500  -0.02
3 Bi 0.000 0.000 0.000  0.00
4 F 0.000 0.000 0.500  0.00
5 F 0.500 0.000 0.000  0.00

Properties
Its crystal system is tetragonal. For the theoretical density, the calculation gives 5.8 g/cm³. The raw formation energy comes out at -0.02 eV/atom.


No. 2
Density functional theory data (GGA-PBE) for an optimized crystal structure of FeBiC2.

Cell lengths 5.040, 5.040, 5.815 Å; angles 64.32, 64.32, 90.00 degrees
Atoms (fractional coordinates):
1 C 0.507 0.125 0.250
2 C 0.243 0.625 0.250
3 C 0.375 0.493 0.750
4 C 0.875 0.757 0.750
5 Bi 0.000 0.000 0.000
6 Bi 0.750 0.250 0.500
7 Fe 0.500 0.500 0.000
8 Fe 0.250 0.750 0.500

Properties
Its calculated formation energy is 1111 meV per atom. Its crystal system is tetragonal. For the theoretical density, the calculation gives 8.2 g/cm³.


No. 3
Density functional theory data (GGA-PBE) for an optimized crystal structure of Fe3BiC.

Cell lengths 3.901, 3.901, 3.901 Å; angles 90.00, 90.00, 90.00 degrees
Each line ends with the local moment (μB).
Atoms (fractional coordinates):
1 C 0.000 0.000 0.000  -0.03
2 Bi 0.500 0.500 0.500  -0.04
3 Fe 0.000 0.500 0.000  0.40
4 Fe 0.000 0.000 0.500  0.42
5 Fe 0.500 0.000 0.000  0.32

Properties
Its calculated formation energy is 391 meV per atom. Its crystal system is cubic. For the theoretical density, the calculation gives 10.9 g/cm³.


No. 4
Density functional theory data (GGA-PBE) for an optimized crystal structure of La21Fe8Bi7C12.

Cell lengths 11.704, 11.704, 11.704 Å; angles 60.00, 60.00, 60.00 degrees
Each line ends with the local moment (μB).
Atoms (fractional coordinates):
1 La 0.157 0.843 0.500  -0.01
2 La 0.843 0.500 0.500  -0.01
3 La 0.138 0.587 0.138  -0.02
4 La 0.157 0.500 0.500  -0.01
5 La 0.500 0.843 0.157  -0.01
6 La 0.413 0.862 0.862  -0.02
7 La 0.138 0.138 0.138  -0.02
8 La 0.843 0.500 0.157  -0.01
9 La 0.843 0.157 0.500  -0.01
10 La 0.862 0.862 0.413  -0.02
11 La 0.500 0.843 0.500  -0.01
12 La 0.862 0.862 0.862  -0.02
13 La 0.500 0.500 0.157  -0.01
14 La 0.500 0.157 0.500  -0.01
15 La 0.587 0.138 0.138  -0.02
16 La 0.862 0.413 0.862  -0.02
17 La 0.500 0.500 0.843  -0.01
18 La 0.500 0.157 0.843  -0.01
19 La 0.138 0.138 0.587  -0.02
20 La 0.157 0.500 0.843  -0.01
21 La 0.000 0.000 0.000  -0.26
22 Fe 0.696 0.696 0.696  -0.03
23 Fe 0.304 0.304 0.304  -0.03
24 Fe 0.696 0.911 0.696  -0.03
25 Fe 0.089 0.304 0.304  -0.03
26 Fe 0.911 0.696 0.696  -0.03
27 Fe 0.304 0.304 0.089  -0.03
28 Fe 0.304 0.089 0.304  -0.03
29 Fe 0.696 0.696 0.911  -0.03
30 Bi 0.209 0.209 0.791  0.01
31 Bi 0.791 0.209 0.791  0.01
32 Bi 0.209 0.791 0.791  0.01
33 Bi 0.791 0.209 0.209  0.01
34 Bi 0.500 0.500 0.500  0.00
35 Bi 0.209 0.791 0.209  0.01
36 Bi 0.791 0.791 0.209  0.01
37 C 0.609 0.609 0.891  0.00
38 C 0.891 0.609 0.891  0.00
39 C 0.391 0.109 0.109  0.00
40 C 0.609 0.891 0.891  0.00
41 C 0.109 0.109 0.391  0.00
42 C 0.109 0.391 0.391  0.00
43 C 0.391 0.391 0.109  0.00
44 C 0.391 0.109 0.391  0.00
45 C 0.891 0.609 0.609  0.00
46 C 0.109 0.391 0.109  0.00
47 C 0.891 0.891 0.609  0.00
48 C 0.609 0.891 0.609  0.00

Properties
Its calculated formation energy is -537 meV per atom. Its crystal system is cubic. For the theoretical density, the calculation gives 7.3 g/cm³.


No. 5
Density functional theory data (GGA-PBE) for an optimized crystal structure of RbFe2BiC.

Cell lengths 5.043, 7.386, 5.043 Å; angles 90.00, 90.00, 90.00 degrees
Each line ends with the local moment (μB).
Atoms (fractional coordinates):
1 C 0.500 0.500 0.500  -1.10
2 Bi 0.000 0.000 0.000  -0.01
3 Rb 0.000 0.500 0.000  -0.02
4 Fe 0.000 0.000 0.500  2.90
5 Fe 0.500 0.000 0.000  3.10

Properties
Its calculated formation energy is 2135 meV per atom. Its crystal system is tetragonal. For the theoretical density, the calculation gives 3.7 g/cm³.


No. 6
Density functional theory data (GGA-PBE) for an optimized crystal structure of Sc2FeBiC.

Cell lengths 4.662, 4.662, 3.943 Å; angles 90.00, 90.00, 90.00 degrees
Each line ends with the local moment (μB).
Atoms (fractional coordinates):
1 Sc 0.000 0.500 0.000  0.02
2 Sc 0.500 0.000 0.000  0.02
3 C 0.000 0.000 0.000  0.01
4 Bi 0.500 0.500 0.500  0.07
5 Fe 0.000 0.000 0.500  2.30

Properties
Its calculated formation energy is -373 meV per atom. Its crystal system is tetragonal. For the theoretical density, the calculation gives 7.1 g/cm³.


What is the formula in the fifth record?
RbFe2BiC


Which of these has the highest theoretical density?
Fe3BiC